No. 1
Here is a relaxed structure of OsRhPb4 from Alexandria via LeMat-Bulk. Energies are from GGA-PBE.

a = 8.630 Å, b = 8.630 Å, c = 8.630 Å
α = 90.00°, β = 90.00°, γ = 90.00°
Space group F-43m (No. 216)
Inequivalent atoms, fractional coordinates:
Os: 0.000 0.000 0.000 [4 per cell]
Rh: 0.250 0.250 0.250 [4 per cell]
Pb: 0.125 0.125 0.625 [16 per cell]

Output
Energy (eV per atom): -4.16
Total magnetization (μB per formula unit): 2.447
Energy relative to the elements (meV per atom): 1405

No. 2
Here is a relaxed structure of PrNd2YS6 from Alexandria via LeMat-Bulk. Energies are from GGA-PBE.

a = 7.1484 Å, b = 7.1484 Å, c = 18.8617 Å
α = 90.00°, β = 90.00°, γ = 120.00°
Space group R3 (No. 146, hexagonal axes)
Inequivalent atoms, fractional coordinates:
Pr: 0.0000 0.0000 0.0000 [3 per cell]
Nd: 0.0000 0.0000 0.2897 [3 per cell]
Nd: 0.0000 0.0000 0.7930 [3 per cell]
Y: 0.0000 0.0000 0.4953 [3 per cell]
S: 0.0007 0.7092 0.3968 [9 per cell]
S: 0.0389 0.3578 0.5623 [9 per cell]

Output
Energy (eV per atom): -6.57
Total magnetization (μB per formula unit): 0.000
E_form (uncorrected) (eV per atom): -2.018

Which value of energy does entry 2 give? -6.57 eV per atom

Please write out number 1 again, unchanged.
Here is a relaxed structure of OsRhPb4 from Alexandria via LeMat-Bulk. Energies are from GGA-PBE.

a = 8.630 Å, b = 8.630 Å, c = 8.630 Å
α = 90.00°, β = 90.00°, γ = 90.00°
Space group F-43m (No. 216)
Inequivalent atoms, fractional coordinates:
Os: 0.000 0.000 0.000 [4 per cell]
Rh: 0.250 0.250 0.250 [4 per cell]
Pb: 0.125 0.125 0.625 [16 per cell]

Output
Energy (eV per atom): -4.16
Total magnetization (μB per formula unit): 2.447
Energy relative to the elements (meV per atom): 1405

total magnetization of number 2 (PrNd2YS6)? 0.000 μB per formula unit